Record 1
CeEuAg, relaxed, DFT GGA-PBE; uncorrected energy = -18.59 eV per cell; calculated volume = 75 Å³/f.u.; offset from the most stable computed form = 16.9 kJ per mole of atoms; total magnetic moment = 8.24 μB/f.u.; N(E_F) = 5.5 states/eV per cell; E_form = 0.156 eV/atom
1.0
-0.677 1.788 2.452
3.950 -2.214 2.705
0.884 4.315 -2.902
Eu Ag Ce
1 1 1
Cartesian
2.364 1.452 2.880
1.681 2.735 -0.216
-0.564 1.490 2.043



Record 2
PrPu2ReC4, relaxed, DFT GGA-PBE; uncorrected energy = -164.67 eV per cell; calculated volume = 130 Å³/f.u.; total magnetic moment = 9.27 μB/f.u.; N(E_F) = 26.8 states/eV per cell; E_form = 0.056 eV/atom
1.0
-2.437 -1.874 -1.733
5.304 -3.284 -0.314
-2.962 -5.779 10.413
Pr Pu Re C
2 4 2 8
Cartesian
-1.393 -5.190 7.571
1.298 -5.747 0.795
1.430 -6.238 4.733
-0.272 -2.255 -0.772
-1.525 -4.699 3.633
0.177 -8.682 9.138
-0.678 -8.125 6.145
0.583 -2.812 2.221
1.739 -2.906 0.697
-1.097 -6.592 5.076
-1.834 -8.031 7.669
1.001 -4.345 3.290
-1.481 -2.889 5.207
0.000 0.000 0.000
1.237 -7.908 6.810
-1.333 -3.029 1.556



Record 3
NaCaGe2, relaxed, DFT GGA-PBE; uncorrected energy = -24.75 eV per cell; calculated volume = 106 Å³/f.u.; offset from the most stable computed form = 43.2 kJ per mole of atoms; total magnetic moment = 0.00 μB/f.u.; N(E_F) = 5.6 states/eV per cell; E_form = 0.045 eV/atom
1.0
-0.693 3.882 2.469
-4.241 -1.506 1.179
1.272 -3.163 9.712
Na Ge Ca
2 4 2
Cartesian
-2.467 1.188 1.824
-2.718 -1.741 6.358
-0.583 1.100 3.898
-2.481 -0.900 3.694
-1.275 -1.616 8.757
-2.984 -0.159 10.371
0.000 0.000 0.000
-0.944 0.953 7.003



Record 4
Zr2AlZn2Rh5, relaxed, DFT GGA-PBE; uncorrected energy = -132.40 eV per cell; calculated volume = 158 Å³/f.u.; total magnetic moment = 0.00 μB/f.u.; N(E_F) = 9.7 states/eV per cell; E_form = -0.605 eV/atom
1.0
-2.416 -0.154 2.579
6.892 0.153 6.466
-0.393 9.441 0.195
Zr Al Zn Rh
4 2 4 10
Cartesian
4.570 1.736 4.385
1.929 7.859 2.276
1.063 3.114 1.182
5.435 6.480 5.479
0.000 0.000 0.000
3.249 4.797 3.331
0.622 5.929 0.937
5.876 3.665 5.725
3.970 8.348 4.218
2.528 1.247 2.443
0.113 0.676 2.572
3.970 8.765 6.668
-0.997 7.526 1.941
3.422 4.028 5.873
5.079 1.915 7.299
0.660 5.413 3.368
2.491 6.583 5.153
1.591 2.858 4.087
2.238 0.000 4.523
-1.405 4.644 1.387



Record 5
SrCe2Sc, relaxed, DFT GGA-PBE; uncorrected energy = -18.50 eV per cell; calculated volume = 128 Å³/f.u.; total magnetic moment = 1.74 μB/f.u.; N(E_F) = 11.9 states/eV per cell; E_form = 0.345 eV/atom
1.0
3.436 0.000 0.000
1.718 2.976 0.000
1.718 0.992 12.471
Sc Sr Ce
1 1 2
Cartesian
3.436 1.984 6.236
0.000 0.000 0.000
1.718 0.992 8.988
5.154 2.976 3.484



Record 6
SrSi2IrS8, relaxed, DFT GGA-PBE; uncorrected energy = -60.94 eV per cell; calculated volume = 257 Å³/f.u.; total magnetic moment = 1.26 μB/f.u.; N(E_F) = 12.1 states/eV per cell
1.0
-3.610 1.823 -4.236
-1.933 -3.708 4.100
-2.401 6.701 4.929
Sr Si Ir S
1 2 1 8
Cartesian
0.000 0.000 0.000
-3.717 1.838 -0.090
-4.227 2.977 4.883
-1.200 3.350 2.464
-4.812 4.610 6.084
-2.564 1.577 1.714
-5.099 -0.152 2.830
-3.132 0.205 -1.291
-2.845 4.967 1.963
-5.379 3.238 3.079
-5.712 5.084 0.407
-2.231 -0.269 4.386



Record 7
NaYSc2H, relaxed, DFT GGA-PBE; uncorrected energy = -15.95 eV per cell; calculated volume = 183 Å³/f.u.; total magnetic moment = 0.00 μB/f.u.; N(E_F) = 6.1 states/eV per cell
1.0
5.511 0.000 0.000
0.000 6.036 0.000
0.000 0.000 5.511
Y Sc H Na
1 2 1 1
Cartesian
0.000 0.000 0.000
0.000 0.000 2.755
2.755 0.000 0.000
2.755 3.018 2.755
0.000 3.018 0.000



Record 8
NiAs2P, relaxed, DFT GGA-PBE; uncorrected energy = -20.49 eV per cell; calculated volume = 65 Å³/f.u.; total magnetic moment = 0.00 μB/f.u.; N(E_F) = 1.8 states/eV per cell; E_form = 0.000 eV/atom
1.0
3.481 0.000 0.000
0.000 4.384 0.029
0.000 1.463 4.248
Ni As P
1 2 1
Cartesian
0.000 2.856 2.086
0.000 0.109 0.065
1.740 4.270 2.984
1.740 1.535 1.281



Record 9
NdY3Cu2, relaxed, DFT GGA-PBE; uncorrected energy = -33.25 eV per cell; calculated volume = 151 Å³/f.u.; total magnetic moment = 0.00 μB/f.u.; N(E_F) = 5.7 states/eV per cell; E_form = -0.149 eV/atom
1.0
3.510 0.000 0.000
0.000 3.510 0.000
0.000 0.000 12.292
Nd Y Cu
1 3 2
Cartesian
1.755 1.755 6.146
0.000 0.000 0.000
0.000 0.000 8.862
0.000 0.000 3.429
1.755 1.755 10.540
1.755 1.755 1.752



Record 10
SrErBr, relaxed, DFT GGA-PBE; uncorrected energy = -19.78 eV per cell; calculated volume = 109 Å³/f.u.; total magnetic moment = 0.02 μB/f.u.; N(E_F) = 6.6 states/eV per cell
1.0
-5.788 -4.470 0.670
-2.965 -6.711 -0.320
-9.256 -15.350 8.362
Er Sr Br
2 2 2
Cartesian
-12.360 -17.607 4.618
-15.087 -22.061 6.927
-10.253 -14.643 3.913
-8.440 -13.845 7.283
-7.729 -10.767 2.338
-1.709 -2.372 0.496



Record 11
HfWI2N, relaxed, DFT GGA-PBE; uncorrected energy = -30.45 eV per cell; calculated volume = 119 Å³/f.u.; offset from the most stable computed form = 0.0 kJ per mole of atoms; total magnetic moment = 0.91 μB/f.u.; N(E_F) = 5.2 states/eV per cell
1.0
-0.504 -3.785 -4.093
5.359 0.804 -1.404
1.044 -2.748 2.412
I Hf W N
2 1 1 1
Cartesian
2.679 0.402 -0.702
-0.252 -1.892 -2.047
2.949 -2.865 -1.542
0.000 0.000 0.000
0.522 -1.374 1.206



Record 12
BSbRhI2, relaxed, DFT GGA-PBE; uncorrected energy = -15.23 eV per cell; calculated volume = 116 Å³/f.u.; offset from the most stable computed form = 7.2 kJ per mole of atoms; total magnetic moment = 0.63 μB/f.u.; N(E_F) = 5.6 states/eV per cell
1.0
4.898 0.000 0.000
0.000 4.898 0.000
0.000 0.000 4.838
I Sb B Rh
2 1 1 1
Cartesian
0.000 2.449 0.000
2.449 0.000 0.000
0.000 0.000 2.419
0.000 0.000 0.000
2.449 2.449 2.419



Record 13
KCaTa2, relaxed, DFT GGA-PBE; uncorrected energy = -23.48 eV per cell; calculated volume = 107 Å³/f.u.; offset from the most stable computed form = 21.3 kJ per mole of atoms; total magnetic moment = 0.00 μB/f.u.; N(E_F) = 6.5 states/eV per cell; E_form = 0.830 eV/atom
1.0
3.015 0.000 0.000
0.000 3.015 0.000
0.000 0.000 11.810
Ca K Ta
1 1 2
Cartesian
0.000 0.000 5.334
1.508 1.508 9.138
0.000 0.000 0.587
1.508 1.508 2.656



Record 14
GaAuI2O, relaxed, DFT GGA-PBE; uncorrected energy = -13.94 eV per cell; calculated volume = 138 Å³/f.u.; offset from the most stable computed form = 24.6 kJ per mole of atoms; total magnetic moment = 0.00 μB/f.u.; N(E_F) = 5.4 states/eV per cell
1.0
5.861 0.000 0.000
0.000 5.861 0.000
0.000 0.000 4.031
I Au O Ga
2 1 1 1
Cartesian
0.000 2.930 0.000
2.930 0.000 0.000
0.000 0.000 0.000
0.000 0.000 2.015
2.930 2.930 2.015



Record 15
PmTaNbOs2, relaxed, DFT GGA-PBE; uncorrected energy = -50.47 eV per cell; calculated volume = 105 Å³/f.u.; total magnetic moment = 0.00 μB/f.u.; N(E_F) = 3.0 states/eV per cell; E_form = -0.268 eV/atom
1.0
-4.105 0.659 1.464
-1.606 -1.710 -3.732
2.868 -4.371 3.371
Pm Ta Nb Os
1 1 1 2
Cartesian
0.000 0.000 0.000
-0.797 -3.303 -0.747
-2.047 -2.118 1.851
-2.853 -1.692 -0.601
0.009 -3.729 1.704



Record 16
AcSiIrN, relaxed, DFT GGA-PBE; uncorrected energy = -62.98 eV per cell; calculated volume = 71 Å³/f.u.; total magnetic moment = 0.00 μB/f.u.; N(E_F) = 2.3 states/eV per cell
1.0
-2.478 2.732 1.784
1.394 -1.140 3.681
6.067 5.825 -0.493
Ac Si Ir N
2 2 2 2
Cartesian
5.761 4.292 1.429
-0.237 2.329 0.811
2.822 1.470 1.668
2.702 5.151 0.572
3.033 2.912 -0.247
2.491 3.709 2.486
3.974 6.372 0.468
1.550 0.249 1.771



Record 17
TaOsC2, relaxed, DFT GGA-PBE; uncorrected energy = -38.02 eV per cell; calculated volume = 41 Å³/f.u.; offset from the most stable computed form = 44.4 kJ per mole of atoms; total magnetic moment = 0.00 μB/f.u.; N(E_F) = 6.8 states/eV per cell; E_form = 0.879 eV/atom
1.0
0.000 2.743 2.743
2.743 0.000 2.743
2.743 2.743 0.000
C Os Ta
2 1 1
Cartesian
1.371 1.371 1.371
4.114 4.114 4.114
2.743 2.743 2.743
0.000 0.000 0.000



Record 18
Mg2ZrBr, relaxed, DFT GGA-PBE; uncorrected energy = -13.09 eV per cell; calculated volume = 89 Å³/f.u.; offset from the most stable computed form = 34.8 kJ per mole of atoms; total magnetic moment = 0.00 μB/f.u.; N(E_F) = 4.0 states/eV per cell
1.0
-3.405 4.494 -2.195
-2.923 -0.366 -5.285
0.854 -3.153 5.093
Br Mg Zr
1 2 1
Cartesian
-2.857 1.703 -0.421
0.000 0.000 0.000
-3.164 2.064 -3.740
-2.616 -0.728 -1.966



Record 19
Tl3TcCl6, relaxed, DFT GGA-PBE; uncorrected energy = -36.59 eV per cell; calculated volume = 323 Å³/f.u.; offset from the most stable computed form = 4.6 kJ per mole of atoms; total magnetic moment = 2.00 μB/f.u.; N(E_F) = 6.4 states/eV per cell
1.0
-3.062 3.351 -5.481
5.359 -3.369 -3.254
-4.991 -5.138 3.367
Tl Tc Cl
3 1 6
Cartesian
-3.453 -0.897 -3.240
1.148 -0.009 -4.367
0.758 -4.258 -2.127
0.000 0.000 0.000
-2.127 -3.812 -3.462
0.863 -1.355 -7.350
-3.558 -3.801 1.983
-0.568 -1.343 -1.905
-1.213 1.875 -4.992
3.509 -1.893 -3.743



Record 20
Pm2SmEr5Tm, relaxed, DFT GGA-PBE; uncorrected energy = -78.07 eV per cell; calculated volume = 288 Å³/f.u.; total magnetic moment = 0.00 μB/f.u.; N(E_F) = 21.4 states/eV per cell; E_form = 0.275 eV/atom
1.0
8.664 0.000 0.000
0.000 8.664 0.000
-4.332 -4.332 7.672
Pm Sm Er Tm
4 2 10 2
Cartesian
1.008 3.324 0.000
5.340 1.008 0.000
3.324 7.656 0.000
7.656 5.340 0.000
0.000 0.000 3.836
4.332 4.332 3.836
6.839 2.507 2.120
2.507 -1.825 5.552
-2.507 1.825 5.552
-1.825 -2.507 5.552
1.825 2.507 5.552
6.157 6.839 2.120
2.507 1.825 2.120
1.825 6.157 2.120
4.332 4.332 0.000
0.000 0.000 0.000
0.000 4.332 3.836
4.332 0.000 3.836